Record 1
This record from Alexandria via LeMat-Bulk describes an optimized crystal structure of RbYTiCl2. The functional is PBE.

## Properties
- formation energy from raw total energies (eV/atom) = 0.53
- space group = No. 123

Unit cell a=5.6307 b=5.6307 c=6.7042 alpha=90.00 beta=90.00 gamma=90.00
Closest atoms and distances in Å follow each position.
Positions (direct):
Rb 0.0000 0.0000 0.0000  4 Cl 2.82
Y 0.0000 0.0000 0.5000  2 Rb 3.35
Ti 0.5000 0.5000 0.5000  4 Y 3.98, 8 Cl 4.38
Cl 0.0000 0.5000 0.0000  2 Rb 2.82
Cl 0.5000 0.0000 0.0000  2 Rb 2.82

---

Record 2
This record from Alexandria via LeMat-Bulk describes an optimized crystal structure of Rb2TiZnCl6. The functional is PBE.

## Properties
- formation energy from raw total energies (eV/atom) = -1.48
- space group = No. 139

Unit cell a=7.1605 b=7.1605 c=7.1605 alpha=119.87 beta=119.87 gamma=90.23
Closest atoms and distances in Å follow each position.
Positions (direct):
Rb 0.2500 0.7500 0.5000  12 Cl 3.58-3.59
Rb 0.7500 0.2500 0.5000  12 Cl 3.58-3.59
Ti 0.0000 0.0000 0.0000  6 Cl 2.52-2.53
Zn 0.5000 0.5000 0.0000  6 Cl 2.53-2.55
Cl 0.2486 0.2486 0.4971  1 Ti 2.52, 1 Zn 2.55
Cl 0.2486 0.7514 0.0000  1 Ti 2.52, 1 Zn 2.55
Cl 0.2501 0.2501 0.0000  1 Zn 2.53, 1 Ti 2.53
Cl 0.7499 0.7499 0.0000  1 Zn 2.53, 1 Ti 2.53
Cl 0.7514 0.2486 0.0000  1 Ti 2.52, 1 Zn 2.55
Cl 0.7514 0.7514 0.5029  1 Ti 2.52, 1 Zn 2.55

---

Record 3
This record from Alexandria via LeMat-Bulk describes an optimized crystal structure of RbTiZnCl6. The functional is PBE.

## Properties
- formation energy from raw total energies (eV/atom) = -1.51
- space group = No. 5

Unit cell a=6.4824 b=6.4824 c=7.3202 alpha=90.06 beta=90.06 gamma=119.94
Closest atoms and distances in Å follow each position.
Positions (direct):
Rb 0.0000 0.0000 0.0000  6 Cl 3.34
Ti 0.3329 0.6671 0.5000  6 Cl 2.43-2.44
Zn 0.6668 0.3332 0.5000  6 Cl 2.49-2.50
Cl 0.0068 0.3822 0.6912  1 Ti 2.44, 1 Zn 2.49
Cl 0.0068 0.6234 0.3081  1 Ti 2.43, 1 Zn 2.50
Cl 0.3765 0.3831 0.3083  1 Ti 2.44, 1 Zn 2.49
Cl 0.3766 0.9932 0.6919  1 Ti 2.43, 1 Zn 2.50
Cl 0.6169 0.6235 0.6917  1 Ti 2.44, 1 Zn 2.49
Cl 0.6178 0.9932 0.3088  1 Ti 2.44, 1 Zn 2.49

---

Which of these has the lowest formation energy from raw total energies?
RbTiZnCl6